# 1
Computed, not measured: a relaxed structure of GdThCuGe at the PBE-GGA level of DFT.

Energy relative to the elements: -381.5 meV/atom
Total DFT energy (no corrections): -7.935 eV/atom
DOS(E_F): 3.9 states/eV/cell
Magnetic moment: 7.281 Bohr magnetons per cell

Lattice parameters (Å, degrees): 5.085 5.085 5.085 60.00 60.00 60.00
Fractional positions:
Ge1 0.750 0.750 0.750
Gd1 0.500 0.500 0.500
Th1 0.000 0.000 0.000
Cu1 0.250 0.250 0.250

=====

# 2
Computed, not measured: a relaxed structure of CuTe2P at the PBE-GGA level of DFT.

Formation energy without anion corrections: 0.300 eV per atom
Total DFT energy (no corrections): -3.647 eV/atom
DOS(E_F): 0.0 states/eV/cell
Magnetic moment: 0.000 Bohr magnetons per cell

Lattice parameters (Å, degrees): 8.230 8.230 8.230 28.94 28.94 28.94
Fractional positions:
Te1 0.103 0.103 0.103
Te2 0.897 0.897 0.897
P1 0.500 0.500 0.500
Cu1 0.000 0.000 0.000

=====

# 3
Computed, not measured: a relaxed structure of PrSm2Ge2 at the PBE-GGA level of DFT.

Energy relative to the elements: -628.8 meV/atom
Energy above the lowest structure with this stoichiometry: 92 meV per atom
Total DFT energy (no corrections): -5.319 eV/atom
DOS(E_F): 7.9 states/eV/cell
Magnetic moment: 0.000 Bohr magnetons per cell

Lattice parameters (Å, degrees): 4.523 6.733 9.815 77.27 76.68 70.38
Fractional positions:
Sm1 0.514 0.656 0.315
Sm2 0.685 0.715 0.915
Sm3 0.315 0.285 0.085
Sm4 0.486 0.344 0.685
Pr1 0.215 0.918 0.652
Pr2 0.785 0.082 0.348
Ge1 0.886 0.665 0.563
Ge2 0.961 0.178 0.901
Ge3 0.114 0.335 0.437
Ge4 0.039 0.822 0.099

=====

# 4
Computed, not measured: a relaxed structure of Sb2TePb2 at the PBE-GGA level of DFT.

Formation energy without anion corrections: 0.102 eV per atom
Energy above the lowest structure with this stoichiometry: 157 meV per atom
Total DFT energy (no corrections): -3.658 eV/atom
DOS(E_F): 6.9 states/eV/cell
Magnetic moment: 0.000 Bohr magnetons per cell

Lattice parameters (Å, degrees): 8.590 8.590 4.261 90.00 90.00 90.00
Fractional positions:
Sb1 0.650 0.150 0.000
Sb2 0.150 0.350 0.000
Sb3 0.350 0.850 0.000
Sb4 0.850 0.650 0.000
Pb1 0.648 0.852 0.500
Pb2 0.852 0.352 0.500
Pb3 0.148 0.648 0.500
Pb4 0.352 0.148 0.500
Te1 0.500 0.500 0.000
Te2 0.000 0.000 0.000

=====

# 5
Computed, not measured: a relaxed structure of TlTePdO6 at the PBE-GGA level of DFT.

Formation energy without anion corrections: -0.702 eV per atom
Total DFT energy (no corrections): -5.196 eV/atom
DOS(E_F): 7.8 states/eV/cell
Magnetic moment: 0.000 Bohr magnetons per cell

Lattice parameters (Å, degrees): 5.313 5.313 10.183 90.00 90.00 120.00
Fractional positions:
Te1 0.667 0.333 0.250
Te2 0.333 0.667 0.750
O1 0.009 0.374 0.641
O2 0.635 0.626 0.141
O3 0.991 0.626 0.359
O4 0.626 0.635 0.641
O5 0.009 0.635 0.859
O6 0.365 0.374 0.859
O7 0.626 0.991 0.859
O8 0.365 0.991 0.641
O9 0.374 0.365 0.359
O10 0.991 0.365 0.141
O11 0.374 0.009 0.141
O12 0.635 0.009 0.359
Tl1 0.000 0.000 0.000
Tl2 0.000 0.000 0.500
Pd1 0.667 0.333 0.750
Pd2 0.333 0.667 0.250

=====

# 6
Computed, not measured: a relaxed structure of PaAlZn at the PBE-GGA level of DFT.

Energy relative to the elements: 38.5 meV/atom
Total DFT energy (no corrections): -4.799 eV/atom
DOS(E_F): 8.9 states/eV/cell
Magnetic moment: 1.116 Bohr magnetons per cell

Lattice parameters (Å, degrees): 2.976 5.049 8.142 90.00 100.53 90.00
Fractional positions:
Pa1 0.190 0.250 0.381
Pa2 0.810 0.750 0.619
Zn1 0.000 0.500 0.000
Zn2 0.000 0.000 0.000
Al1 0.380 0.250 0.761
Al2 0.620 0.750 0.239

=====

# 7
Computed, not measured: a relaxed structure of RbCoTe2Br at the PBE-GGA level of DFT.

Formation energy without anion corrections: -0.294 eV per atom
Total DFT energy (no corrections): -3.500 eV/atom
DOS(E_F): 3.7 states/eV/cell
Magnetic moment: 1.591 Bohr magnetons per cell

Lattice parameters (Å, degrees): 4.851 7.963 4.851 90.00 90.00 90.00
Fractional positions:
Br1 0.500 0.500 0.500
Co1 0.000 0.000 0.000
Te1 0.000 0.000 0.500
Te2 0.500 0.000 0.000
Rb1 0.000 0.500 0.000